Record 1
The following is a PBE calculation of an optimized crystal structure of Pm7As2C2, from Alexandria via LeMat-Bulk.

Results
For the spin magnetization, the calculation gives 0.001 μB/f.u. The energy relative to the elements is -0.330 eV/atom. For the raw total energy, the calculation gives -5.875 eV per atom.

abc: 7.9053 12.0650 7.2490
angles: 90.00 97.61 90.00
Space group C2/m (No. 12)
Unique sites:
Pm 0.0000 0.0000 0.0000 x2
Pm 0.0868 0.5000 0.7882 x4
Pm 0.2479 0.1887 0.7601 x8
As 0.0000 0.3187 0.5000 x4
C 0.2111 0.5000 0.1240 x4

---

Record 2
The following is a PBE calculation of an optimized crystal structure of Mg2PBrCl, from Alexandria via LeMat-Bulk.

Results
For the spin magnetization, the calculation gives 0.000 μB/f.u. For the raw total energy, the calculation gives -2.887 eV per atom. Its energy relative to the elements, uncorrected is -2.31 eV per formula unit.

abc: 5.0064 5.0064 4.9762
angles: 90.00 90.00 90.00
Space group P4/mmm (No. 123)
Unique sites:
Mg 0.0000 0.5000 0.0000 x2
P 0.0000 0.0000 0.0000 x1
Br 0.5000 0.5000 0.5000 x1
Cl 0.0000 0.0000 0.5000 x1

---

Record 3
The following is a PBE calculation of an optimized crystal structure of SbTeRh2, from Alexandria via LeMat-Bulk.

Results
For the spin magnetization, the calculation gives 0.000 μB/f.u. For the raw total energy, the calculation gives -5.579 eV per atom. Its energy relative to the elements, uncorrected is -0.35 eV per formula unit.

abc: 4.0679 4.0679 18.8506
angles: 90.00 90.00 120.00
Space group R3m (No. 160, hexagonal axes)
Unique sites:
Sb 0.0000 0.0000 0.0000 x3
Te 0.0000 0.0000 0.1864 x3
Rh 0.0000 0.0000 0.4526 x3
Rh 0.0000 0.0000 0.7301 x3

---

Record 4
The following is a PBE calculation of an optimized crystal structure of KPuScF6, from Alexandria via LeMat-Bulk.

Results
For the spin magnetization, the calculation gives 5.990 μB/f.u. For the raw total energy, the calculation gives -7.071 eV per atom. Its energy relative to the elements, uncorrected is -30.65 eV per formula unit.

abc: 6.1339 6.1339 10.4309
angles: 90.00 90.00 120.00
Space group P-31c (No. 163)
Unique sites:
K 0.0000 0.0000 0.0000 x2
Pu 0.3333 0.6667 0.2500 x2
Sc 0.3333 0.6667 0.7500 x2
F 0.0423 0.3908 0.6420 x12

---

Record 5
The following is a PBE calculation of an optimized crystal structure of MnTlBi3, from Alexandria via LeMat-Bulk.

Results
For the spin magnetization, the calculation gives 0.000 μB/f.u. The energy relative to the elements is 0.428 eV/atom. For the raw total energy, the calculation gives -4.208 eV per atom. The energy relative to the lowest polymorph listed for this composition comes out at 0.0 meV per atom.

abc: 5.2338 5.2338 5.2338
angles: 90.00 90.00 90.00
Space group Pm-3m (No. 221)
Unique sites:
Mn 0.0000 0.0000 0.0000 x1
Tl 0.5000 0.5000 0.5000 x1
Bi 0.0000 0.0000 0.5000 x3

---

Record 6
The following is a PBE calculation of an optimized crystal structure of Sr3MgBr2Cl6, from Alexandria via LeMat-Bulk.

Results
For the spin magnetization, the calculation gives 0.000 μB/f.u. For the raw total energy, the calculation gives -3.931 eV per atom. Its energy relative to the elements, uncorrected is -26.11 eV per formula unit.

abc: 14.3864 8.3406 6.4636
angles: 90.00 93.00 90.00
Space group C2/m (No. 12)
Unique sites:
Sr 0.0000 0.0000 0.0000 x2
Sr 0.2500 0.2500 0.5000 x4
Mg 0.0000 0.5000 0.5000 x2
Br 0.1864 0.0000 0.8015 x4
Cl 0.0680 0.2663 0.2775 x8
Cl 0.1511 0.5000 0.7084 x4

---

Record 7
The following is a PBE calculation of an optimized crystal structure of DyZnCdPb, from Alexandria via LeMat-Bulk.

Results
For the spin magnetization, the calculation gives 0.000 μB/f.u. The energy relative to the elements is -0.097 eV/atom. For the raw total energy, the calculation gives -2.722 eV per atom.

abc: 7.3019 7.3019 7.3019
angles: 90.00 90.00 90.00
Space group F-43m (No. 216)
Unique sites:
Dy 0.0000 0.0000 0.0000 x4
Zn 0.2500 0.2500 0.7500 x4
Cd 0.0000 0.0000 0.5000 x4
Pb 0.2500 0.2500 0.2500 x4

---

Record 8
The following is a PBE calculation of an optimized crystal structure of LuZnAg, from Alexandria via LeMat-Bulk.

Results
For the spin magnetization, the calculation gives 0.001 μB/f.u. The energy relative to the elements is -0.298 eV/atom. For the raw total energy, the calculation gives -3.180 eV per atom.

abc: 4.5745 4.5745 3.3573
angles: 90.00 90.00 120.00
Space group P-6m2 (No. 187)
Unique sites:
Lu 0.0000 0.0000 0.0000 x1
Zn 0.3333 0.6667 0.5000 x1
Ag 0.6667 0.3333 0.5000 x1

---

Record 9
The following is a PBE calculation of an optimized crystal structure of Cr4Os3, from Alexandria via LeMat-Bulk.

Results
For the spin magnetization, the calculation gives 0.000 μB/f.u. The energy relative to the elements is 0.126 eV/atom. For the raw total energy, the calculation gives -10.186 eV per atom. The energy relative to the lowest polymorph listed for this composition comes out at 0.0 meV per atom.

abc: 2.8728 2.8728 21.7380
angles: 90.00 90.00 90.00
Space group I4/mmm (No. 139)
Unique sites:
Cr 0.0000 0.0000 0.0753 x4
Cr 0.0000 0.0000 0.3681 x4
Os 0.0000 0.0000 0.2072 x4
Os 0.0000 0.0000 0.5000 x2

---

Record 10
The following is a PBE calculation of an optimized crystal structure of As2P, from Alexandria via LeMat-Bulk.

Results
For the spin magnetization, the calculation gives 0.000 μB/f.u. The energy relative to the elements is 0.242 eV/atom. For the raw total energy, the calculation gives -4.661 eV per atom. The energy relative to the lowest polymorph listed for this composition comes out at 183.6 meV per atom.

abc: 6.2190 6.2190 6.2190
angles: 90.00 90.00 90.00
Space group Pa-3 (No. 205)
Unique sites:
As 0.1137 0.1137 0.1137 x8
P 0.0000 0.0000 0.5000 x4

---

Record 11
The following is a PBE calculation of an optimized crystal structure of FeAg3Pd12, from Alexandria via LeMat-Bulk.

Results
For the spin magnetization, the calculation gives 4.655 μB/f.u. The energy relative to the elements is -0.032 eV/atom. For the raw total energy, the calculation gives -4.991 eV per atom.

abc: 3.9775 3.9775 15.7988
angles: 90.00 90.00 90.00
Space group P4/mmm (No. 123)
Unique sites:
Fe 0.0000 0.0000 0.0000 x1
Ag 0.0000 0.0000 0.2458 x2
Ag 0.0000 0.0000 0.5000 x1
Pd 0.0000 0.5000 0.1172 x4
Pd 0.0000 0.5000 0.3730 x4
Pd 0.5000 0.5000 0.0000 x1
Pd 0.5000 0.5000 0.2455 x2
Pd 0.5000 0.5000 0.5000 x1

---

Record 12
The following is a PBE calculation of an optimized crystal structure of MnAgSnBr6, from Alexandria via LeMat-Bulk.

Results
For the spin magnetization, the calculation gives 4.056 μB/f.u. For the raw total energy, the calculation gives -3.483 eV per atom. Its energy relative to the elements, uncorrected is -5.29 eV per formula unit.

abc: 6.6435 6.6435 12.3321
angles: 90.00 90.00 90.00
Space group P4_2nm (No. 102)
Unique sites:
Mn 0.0000 0.0000 0.0000 x2
Ag 0.0000 0.0000 0.3381 x2
Sn 0.0000 0.0000 0.6664 x2
Br 0.1897 0.1897 0.1580 x4
Br 0.1918 0.1918 0.8480 x4
Br 0.2161 0.2161 0.5004 x4

---

Look up the spin magnetization of the second one. 0.000 μB/f.u.

---

spin magnetization of number 4 (KPuScF6)? 5.990 μB/f.u.